No. 1
First-principles (PBE-GGA) data for crystalline ScH at its relaxed geometry, as listed in the Alexandria database.

Cell lengths 3.180, 9.048, 5.151 Å; angles 90.00, 90.00, 90.00 degrees
Atoms (fractional coordinates):
H (0.500, 0.717, 0.061)
H (0.000, 0.000, 0.540)
H (0.500, 0.783, 0.561)
H (0.500, 0.283, 0.061)
H (0.500, 0.217, 0.561)
H (0.000, 0.500, 0.040)
Sc (0.000, 0.835, 0.285)
Sc (0.000, 0.165, 0.285)
Sc (0.500, 0.000, 0.769)
Sc (0.500, 0.500, 0.269)
Sc (0.000, 0.665, 0.785)
Sc (0.000, 0.335, 0.785)

Computed properties:
Magnetic moment, μB per cell: 0.00
SG: No. 38

=====

No. 2
First-principles (PBE-GGA) data for crystalline Pr12Ho5Th2 at its relaxed geometry, as listed in the Alexandria database.

Cell lengths 7.264, 11.541, 11.994 Å; angles 47.89, 90.00, 108.34 degrees
Atoms (fractional coordinates):
Pr (0.594, 0.187, 0.110)
Pr (0.553, 0.596, 0.800)
Pr (0.097, 0.195, 0.098)
Pr (0.043, 0.596, 0.800)
Pr (0.142, 0.793, 0.403)
Pr (0.349, 0.207, 0.597)
Pr (0.447, 0.404, 0.200)
Pr (0.651, 0.793, 0.403)
Pr (0.406, 0.813, 0.890)
Pr (0.858, 0.207, 0.597)
Pr (0.903, 0.805, 0.902)
Pr (0.957, 0.404, 0.200)
Th (0.748, 0.000, 0.000)
Th (0.252, 0.000, 0.000)
Ho (0.306, 0.612, 0.291)
Ho (0.195, 0.389, 0.705)
Ho (0.000, 0.000, 0.500)
Ho (0.805, 0.611, 0.295)
Ho (0.694, 0.388, 0.709)

Computed properties:
Magnetic moment, μB per cell: 0.00
SG: No. 12
ΔE_f, eV per formula unit: 2.0

=====

No. 3
First-principles (PBE-GGA) data for crystalline Ce5Bi2HOs at its relaxed geometry, as listed in the Alexandria database.

Cell lengths 4.482, 4.482, 11.875 Å; angles 90.00, 90.00, 90.00 degrees
Last column: magnetic moment on the atom in μB.
Atoms (fractional coordinates):
H (0.000, 0.000, 0.500)  -0.01
Ce (0.000, 0.500, 0.500)  0.80
Ce (0.500, 0.500, 0.000)  0.80
Ce (0.000, 0.000, 0.215)  0.69
Ce (0.000, 0.000, 0.785)  0.69
Ce (0.500, 0.000, 0.500)  0.80
Os (0.000, 0.000, 0.000)  -0.16
Bi (0.500, 0.500, 0.289)  -0.03
Bi (0.500, 0.500, 0.711)  -0.03

Computed properties:
Magnetic moment, μB per cell: 4.56
SG: No. 123

=====

No. 4
First-principles (PBE-GGA) data for crystalline PuCdCuRh at its relaxed geometry, as listed in the Alexandria database.

Cell lengths 4.752, 4.752, 4.752 Å; angles 60.00, 60.00, 60.00 degrees
Last column: magnetic moment on the atom in μB.
Atoms (fractional coordinates):
Cu (0.500, 0.500, 0.500)  -0.01
Cd (0.250, 0.250, 0.250)  0.01
Pu (0.750, 0.750, 0.750)  5.05
Rh (0.000, 0.000, 0.000)  -0.30

Computed properties:
Magnetic moment, μB per cell: 4.97
SG: No. 216
ΔE_f, eV per formula unit: -0.3

=====

No. 5
First-principles (PBE-GGA) data for crystalline ReNiCl2 at its relaxed geometry, as listed in the Alexandria database.

Cell lengths 2.928, 2.928, 8.116 Å; angles 90.00, 90.00, 90.00 degrees
Atoms (fractional coordinates):
Ni (0.000, 0.000, 0.525)
Re (0.500, 0.500, 0.718)
Cl (0.500, 0.500, 0.342)
Cl (0.000, 0.000, 0.915)

Computed properties:
Magnetic moment, μB per cell: 0.00
SG: No. 99
Offset from the most stable computed form, eV/atom: 0.199

=====

No. 6
First-principles (PBE-GGA) data for crystalline Rb3Pa2HgO9 at its relaxed geometry, as listed in the Alexandria database.

Cell lengths 6.186, 6.186, 7.579 Å; angles 90.00, 90.00, 120.00 degrees
Atoms (fractional coordinates):
O (0.829, 0.171, 0.675)
O (0.500, 0.500, 0.000)
O (0.342, 0.171, 0.675)
O (0.500, 0.000, 0.000)
O (0.000, 0.500, 0.000)
O (0.171, 0.342, 0.325)
O (0.171, 0.829, 0.325)
O (0.829, 0.658, 0.675)
O (0.658, 0.829, 0.325)
Rb (0.667, 0.333, 0.340)
Rb (0.000, 0.000, 0.000)
Rb (0.333, 0.667, 0.660)
Hg (0.000, 0.000, 0.500)
Pa (0.667, 0.333, 0.829)
Pa (0.333, 0.667, 0.171)

Computed properties:
Magnetic moment, μB per cell: 0.02
SG: No. 164

=====

No. 7
First-principles (PBE-GGA) data for crystalline KBaGa4 at its relaxed geometry, as listed in the Alexandria database.

Cell lengths 5.992, 5.992, 5.992 Å; angles 60.00, 60.00, 60.00 degrees
Atoms (fractional coordinates):
Ga (0.625, 0.625, 0.625)
Ga (0.625, 0.124, 0.625)
Ga (0.124, 0.625, 0.625)
Ga (0.625, 0.625, 0.124)
K (0.000, 0.000, 0.000)
Ba (0.250, 0.250, 0.250)

Computed properties:
Magnetic moment, μB per cell: 0.00
SG: No. 216
ΔE_f, eV per formula unit: -1.3

=====

No. 8
First-principles (PBE-GGA) data for crystalline Pr3NdIn4 at its relaxed geometry, as listed in the Alexandria database.

Cell lengths 3.897, 3.897, 15.597 Å; angles 90.00, 90.00, 90.00 degrees
Atoms (fractional coordinates):
In (0.000, 0.000, 0.877)
In (0.000, 0.000, 0.123)
In (0.000, 0.000, 0.626)
In (0.000, 0.000, 0.374)
Pr (0.500, 0.500, 0.249)
Pr (0.500, 0.500, 0.500)
Pr (0.500, 0.500, 0.751)
Nd (0.500, 0.500, 0.000)

Computed properties:
Magnetic moment, μB per cell: 0.00
SG: No. 123
ΔE_f, eV per formula unit: -4.0
Offset from the most stable computed form, eV/atom: 0.000

=====

No. 9
First-principles (PBE-GGA) data for crystalline Ac8Si3IrCl4 at its relaxed geometry, as listed in the Alexandria database.

Cell lengths 9.071, 8.931, 9.072 Å; angles 120.53, 119.99, 90.00 degrees
Atoms (fractional coordinates):
Ac (0.256, 0.267, 0.511)
Ac (0.765, 0.278, 0.013)
Ac (0.249, 0.278, 0.013)
Ac (0.744, 0.733, 0.489)
Ac (0.235, 0.722, 0.987)
Ac (0.764, 0.277, 0.528)
Ac (0.236, 0.723, 0.472)
Ac (0.751, 0.722, 0.987)
Ir (0.000, 0.500, 0.000)
Cl (0.500, 0.000, 0.500)
Cl (0.500, 0.000, 0.000)
Cl (0.000, 0.000, 0.500)
Cl (0.000, 0.000, 0.000)
Si (0.000, 0.500, 0.500)
Si (0.500, 0.500, 0.000)
Si (0.500, 0.500, 0.500)

Computed properties:
Magnetic moment, μB per cell: 0.00
SG: No. 166

=====

No. 10
First-principles (PBE-GGA) data for crystalline VSnS2 at its relaxed geometry, as listed in the Alexandria database.

Cell lengths 3.248, 3.248, 8.576 Å; angles 79.08, 79.08, 60.00 degrees
Atoms (fractional coordinates):
V (0.667, 0.667, 0.999)
S (0.059, 0.059, 0.824)
S (0.276, 0.276, 0.172)
Sn (0.498, 0.498, 0.505)

Computed properties:
Magnetic moment, μB per cell: 0.00
SG: No. 160

=====

No. 11
First-principles (PBE-GGA) data for crystalline DyTi2Ga8 at its relaxed geometry, as listed in the Alexandria database.

Cell lengths 5.177, 6.951, 6.951 Å; angles 116.42, 100.05, 100.05 degrees
Atoms (fractional coordinates):
Ga (0.844, 0.665, 0.881)
Ga (0.156, 0.119, 0.335)
Ga (0.156, 0.335, 0.119)
Ga (0.735, 0.418, 0.418)
Ga (0.265, 0.582, 0.582)
Ga (0.500, 0.746, 0.254)
Ga (0.844, 0.881, 0.665)
Ga (0.500, 0.254, 0.746)
Dy (0.500, 0.000, 0.000)
Ti (0.000, 0.284, 0.716)
Ti (0.000, 0.716, 0.284)

Computed properties:
Magnetic moment, μB per cell: 0.00
SG: No. 12
ΔE_f, eV per formula unit: -2.0

=====

No. 12
First-principles (PBE-GGA) data for crystalline CsTl2Au2 at its relaxed geometry, as listed in the Alexandria database.

Cell lengths 5.023, 5.023, 7.213 Å; angles 69.62, 69.62, 90.00 degrees
Atoms (fractional coordinates):
Tl (0.750, 0.250, 0.500)
Tl (0.250, 0.750, 0.500)
Cs (0.000, 0.000, 0.000)
Au (0.389, 0.389, 0.223)
Au (0.611, 0.611, 0.777)

Computed properties:
Magnetic moment, μB per cell: 0.00
SG: No. 139
ΔE_f, eV per formula unit: -0.8
Offset from the most stable computed form, eV/atom: 0.025

=====

In eV per atom, the uncorrected energy values for the records above are, in order, -5.266; -4.898; -6.203; -6.760; -5.210; -6.593; -2.746; -4.253; -5.239; -5.935; -4.234; -2.591.
In states/eV/f.u., the DOS(E_F) values for the records above are, in order, 0.49; 25.72; 27.37; 11.70; 2.30; 6.43; 1.30; 5.10; 12.48; 2.46; 4.21; 2.67.